Record 1
First-principles (PBE) data for a geometry-optimized Ac2H6Os structure, as listed in Alexandria.

Unit cell a=5.502 b=5.502 c=5.502 alpha=60.00 beta=60.00 gamma=60.00
Element x y z (fractional)
Ac 0.250 0.250 0.250
Ac 0.750 0.750 0.750
H 0.226 0.774 0.774
H 0.226 0.774 0.226
H 0.774 0.226 0.774
H 0.774 0.226 0.226
H 0.774 0.774 0.226
H 0.226 0.226 0.774
Os 0.000 0.000 0.000

Computed properties:
space group	Fm-3m
uncorrected energy	-4.83	eV/atom

Record 2
First-principles (PBE) data for a geometry-optimized Ac2P2H4Os structure, as listed in Alexandria.

Unit cell a=5.982 b=5.982 c=5.982 alpha=90.08 beta=119.95 gamma=119.95
Element x y z (fractional)
Ac 0.500 0.750 0.250
Ac 0.500 0.250 0.750
P 0.000 0.717 0.717
P 0.000 0.283 0.283
H 0.000 0.794 0.206
H 0.588 0.794 0.794
H 0.000 0.206 0.794
H 0.412 0.206 0.206
Os 0.000 0.000 0.000

Computed properties:
space group	I4/mmm
uncorrected energy	-5.35	eV/atom

Record 3
First-principles (PBE) data for a geometry-optimized Ac2H6OsPd structure, as listed in Alexandria.

Unit cell a=5.593 b=5.593 c=5.594 alpha=120.20 beta=120.20 gamma=89.77
Element x y z (fractional)
Ac 0.750 0.250 0.500
Ac 0.250 0.750 0.500
H 0.777 0.778 0.001
H 0.775 0.776 0.549
H 0.223 0.223 0.999
H 0.775 0.225 0.000
H 0.224 0.225 0.450
H 0.224 0.776 0.000
Os 0.000 0.000 0.000
Pd 0.500 0.501 0.000

Computed properties:
space group	C2/m
uncorrected energy	-4.93	eV/atom

Q: Among the records above, which one has the lowest uncorrected energy?
A: Ac2P2H4Os

Q: The highest uncorrected energy belongs to which entry?
A: Ac2H6Os

Q: uncorrected energy of number 1 (Ac2H6Os)?
A: -4.83 eV/atom